Record 1
Below is CaCe2Ni9 after structural relaxation, with properties calculated at the GGA-PBE level.

a b c (Å): 4.9630 4.9630 24.5448
angles (deg): 90.00 90.00 120.00
Space group R-3m (No. 166, hexagonal axes)
One atom of each set of equivalent atoms:
1 Ca 0.0000 0.0000 0.0000
2 Ce 0.0000 0.0000 0.1378
3 Ni 0.0000 0.0000 0.3325
4 Ni 0.0000 0.0000 0.5000
5 Ni 0.9997 0.4998 0.0821

The value obtained for the energy is -5.794 eV per atom. The value obtained for the magnetic moment is 0.20 μB per cell. The calculation puts the formation energy at -0.302 eV/atom.


Record 2
Below is CaCe3Ni8 after structural relaxation, with properties calculated at the GGA-PBE level.

a b c (Å): 5.0832 5.0832 24.8986
angles (deg): 90.00 90.00 120.00
Space group R3m (No. 160, hexagonal axes)
One atom of each set of equivalent atoms:
1 Ca 0.0000 0.0000 0.0000
2 Ce 0.0000 0.0000 0.1251
3 Ce 0.0000 0.0000 0.4983
4 Ce 0.0000 0.0000 0.6231
5 Ni 0.0000 0.0000 0.3122
6 Ni 0.0000 0.0000 0.8121
7 Ni 0.9996 0.4998 0.0621
8 Ni 0.0006 0.5003 0.5621

The value obtained for the energy is -5.838 eV per atom. The value obtained for the magnetic moment is 2.24 μB per cell. The calculation puts the formation energy at -0.334 eV/atom.


Record 3
Below is CaCeNi2 after structural relaxation, with properties calculated at the GGA-PBE level.

a b c (Å): 3.433 3.433 6.924
angles (deg): 90.00 90.00 90.00
Space group P4/mmm (No. 123)
One atom of each set of equivalent atoms:
1 Ca 0.000 0.000 0.000
2 Ce 0.000 0.000 0.500
3 Ni 0.500 0.500 0.299

For the energy above the most stable polymorph in this dataset, the calculation gives 0.000 eV/atom. The value obtained for the energy is -5.088 eV per atom. The value obtained for the magnetic moment is 0.00 μB per cell. The calculation puts the formation energy at -0.213 eV/atom.